(P)
# YTmAlPd | Alexandria | GGA-PBE | relaxed
data_YTmAlPd
_space_group_name_H-M_alt 'F -4 3 m'
_space_group_IT_number 216
_space_group_name_Hall 'F -4 2 3'
_cell_length_a 7.111
_cell_length_b 7.111
_cell_length_c 7.111
_cell_angle_alpha 90.00
_cell_angle_beta 90.00
_cell_angle_gamma 90.00
loop_
_atom_site_label
_atom_site_type_symbol
_atom_site_fract_x
_atom_site_fract_y
_atom_site_fract_z
Y1 Y 0.000 0.000 0.000
Tm1 Tm 0.000 0.000 0.500
Al1 Al 0.250 0.250 0.250
Pd1 Pd 0.250 0.250 0.750
# - V: 360 Å³/cell
# - DOS at the Fermi energy: 13.26 states/eV/cell
# - Size of the total moment: 0.0 μB/cell

(Q)
# YTmAlPd | Alexandria | GGA-PBE | relaxed
data_YTmAlPd
_space_group_name_H-M_alt 'A m m 2'
_space_group_IT_number 38
_cell_length_a 4.417
_cell_length_b 3.772
_cell_length_c 11.140
_cell_angle_alpha 90.00
_cell_angle_beta 90.00
_cell_angle_gamma 90.00
loop_
_space_group_symop_operation_xyz
'x,y,z'
'-x,-y,z'
'-x,y,z'
'x,-y,z'
'x,y+1/2,z+1/2'
'-x,-y+1/2,z+1/2'
'-x,y+1/2,z+1/2'
'x,-y+1/2,z+1/2'
loop_
_atom_site_label
_atom_site_type_symbol
_atom_site_fract_x
_atom_site_fract_y
_atom_site_fract_z
Y1 Y 0.000 0.000 0.000
Tm1 Tm 0.500 0.000 0.705
Al1 Al 0.500 0.000 0.421
Pd1 Pd 0.000 0.000 0.278
# - V: 186 Å³/cell
# - DOS at the Fermi energy: 6.68 states/eV/cell
# - Size of the total moment: 0.0 μB/cell

Top of the stability list: (Q), leading by 44 meV per atom.

(P)
# AlV2Pd8 | Alexandria | GGA-PBE | relaxed
data_AlV2Pd8
_space_group_name_H-M_alt 'C 1 2/m 1'
_space_group_IT_number 12
_cell_length_a 13.945
_cell_length_b 3.949
_cell_length_c 6.139
_cell_angle_alpha 90.00
_cell_angle_beta 104.73
_cell_angle_gamma 90.00
loop_
_space_group_symop_operation_xyz
'x,y,z'
'-x,-y,-z'
'-x,y,-z'
'x,-y,z'
'x+1/2,y+1/2,z'
'-x+1/2,-y+1/2,-z'
'-x+1/2,y+1/2,-z'
'x+1/2,-y+1/2,z'
loop_
_atom_site_label
_atom_site_type_symbol
_atom_site_fract_x
_atom_site_fract_y
_atom_site_fract_z
Al1 Al 0.000 0.000 0.000
V1 V 0.224 0.500 0.647
Pd1 Pd 0.044 0.500 0.738
Pd2 Pd 0.098 0.000 0.461
Pd3 Pd 0.147 0.500 0.203
Pd4 Pd 0.179 0.000 0.919
# - V: 327 Å³/cell
# - DOS at the Fermi energy: 19.04 states/eV/cell
# - Size of the total moment: 4.7 μB/cell

(Q)
# AlV2Pd8 | Alexandria | GGA-PBE | relaxed
data_AlV2Pd8
_space_group_name_H-M_alt 'C 1 2/m 1'
_space_group_IT_number 12
_cell_length_a 14.431
_cell_length_b 4.400
_cell_length_c 5.721
_cell_angle_alpha 90.00
_cell_angle_beta 113.28
_cell_angle_gamma 90.00
loop_
_space_group_symop_operation_xyz
'x,y,z'
'-x,-y,-z'
'-x,y,-z'
'x,-y,z'
'x+1/2,y+1/2,z'
'-x+1/2,-y+1/2,-z'
'-x+1/2,y+1/2,-z'
'x+1/2,-y+1/2,z'
loop_
_atom_site_label
_atom_site_type_symbol
_atom_site_fract_x
_atom_site_fract_y
_atom_site_fract_z
Al1 Al 0.000 0.000 0.000
V1 V 0.190 0.500 0.690
Pd1 Pd 0.000 0.500 0.262
Pd2 Pd 0.141 0.000 0.408
Pd3 Pd 0.141 0.000 0.875
Pd4 Pd 0.181 0.500 0.182
# - V: 334 Å³/cell
# - DOS at the Fermi energy: 11.59 states/eV/cell
# - Size of the total moment: 1.9 μB/cell

Top of the stability list: (P), leading by 28 meV per atom.

(P)
# AlVPd5 | Alexandria | GGA-PBE | relaxed
data_AlVPd5
_space_group_name_H-M_alt 'C 1 2/c 1'
_space_group_IT_number 15
_cell_length_a 9.468
_cell_length_b 9.026
_cell_length_c 6.613
_cell_angle_alpha 90.00
_cell_angle_beta 120.49
_cell_angle_gamma 90.00
loop_
_space_group_symop_operation_xyz
'x,y,z'
'-x,-y,-z'
'-x,y,-z+1/2'
'x,-y,z+1/2'
'x+1/2,y+1/2,z'
'-x+1/2,-y+1/2,-z'
'-x+1/2,y+1/2,-z+1/2'
'x+1/2,-y+1/2,z+1/2'
loop_
_atom_site_label
_atom_site_type_symbol
_atom_site_fract_x
_atom_site_fract_y
_atom_site_fract_z
Al1 Al 0.000 0.000 0.000
V1 V 0.000 0.467 0.250
Pd1 Pd 0.000 0.194 0.250
Pd2 Pd 0.114 0.304 0.986
Pd3 Pd 0.204 0.404 0.663
# - V: 487 Å³/cell
# - DOS at the Fermi energy: 20.96 states/eV/cell
# - Size of the total moment: 0.0 μB/cell

(Q)
# AlVPd5 | Alexandria | GGA-PBE | relaxed
data_AlVPd5
_space_group_name_H-M_alt 'P 4/m m m'
_space_group_IT_number 123
_space_group_name_Hall '-P 4 2'
_cell_length_a 3.968
_cell_length_b 3.968
_cell_length_c 6.878
_cell_angle_alpha 90.00
_cell_angle_beta 90.00
_cell_angle_gamma 90.00
loop_
_atom_site_label
_atom_site_type_symbol
_atom_site_fract_x
_atom_site_fract_y
_atom_site_fract_z
Al1 Al 0.000 0.000 0.000
V1 V 0.500 0.500 0.500
Pd1 Pd 0.000 0.000 0.500
Pd2 Pd 0.000 0.500 0.225
# - V: 108 Å³/cell
# - DOS at the Fermi energy: 3.11 states/eV/cell
# - Size of the total moment: 0.6 μB/cell

Top of the stability list: (Q), leading by 385 meV per atom.

(P)
# Al2Pd2W | Alexandria | GGA-PBE | relaxed
data_Al2Pd2W
_space_group_name_H-M_alt 'I 4/m m m'
_space_group_IT_number 139
_space_group_name_Hall '-I 4 2'
_cell_length_a 3.749
_cell_length_b 3.749
_cell_length_c 11.272
_cell_angle_alpha 90.00
_cell_angle_beta 90.00
_cell_angle_gamma 90.00
loop_
_atom_site_label
_atom_site_type_symbol
_atom_site_fract_x
_atom_site_fract_y
_atom_site_fract_z
Al1 Al 0.000 0.000 0.107
Pd1 Pd 0.000 0.500 0.250
W1 W 0.000 0.000 0.500
# - V: 158 Å³/cell
# - DOS at the Fermi energy: 6.42 states/eV/cell
# - Size of the total moment: 0.0 μB/cell

(Q)
# Al2Pd2W | Alexandria | GGA-PBE | relaxed
data_Al2Pd2W
_space_group_name_H-M_alt 'P 4/m b m'
_space_group_IT_number 127
_space_group_name_Hall '-P 4 2ab'
_cell_length_a 7.337
_cell_length_b 7.337
_cell_length_c 2.782
_cell_angle_alpha 90.00
_cell_angle_beta 90.00
_cell_angle_gamma 90.00
loop_
_atom_site_label
_atom_site_type_symbol
_atom_site_fract_x
_atom_site_fract_y
_atom_site_fract_z
Al1 Al 0.146 0.354 0.000
Pd1 Pd 0.153 0.653 0.500
W1 W 0.000 0.000 0.000
# - V: 150 Å³/cell
# - DOS at the Fermi energy: 7.96 states/eV/cell
# - Size of the total moment: 0.0 μB/cell

Top of the stability list: (Q), leading by 341 meV per atom.

(P)
# AlPd2W2 | Alexandria | GGA-PBE | relaxed
data_AlPd2W2
_space_group_name_H-M_alt 'I 4/m m m'
_space_group_IT_number 139
_space_group_name_Hall '-I 4 2'
_cell_length_a 3.760
_cell_length_b 3.760
_cell_length_c 12.396
_cell_angle_alpha 90.00
_cell_angle_beta 90.00
_cell_angle_gamma 90.00
loop_
_atom_site_label
_atom_site_type_symbol
_atom_site_fract_x
_atom_site_fract_y
_atom_site_fract_z
Al1 Al 0.000 0.000 0.000
Pd1 Pd 0.000 0.500 0.250
W1 W 0.000 0.000 0.405
# - V: 175 Å³/cell
# - DOS at the Fermi energy: 6.16 states/eV/cell
# - Size of the total moment: 0.0 μB/cell

(Q)
# AlPd2W2 | Alexandria | GGA-PBE | relaxed
data_AlPd2W2
_space_group_name_H-M_alt 'P 4/m b m'
_space_group_IT_number 127
_space_group_name_Hall '-P 4 2ab'
_cell_length_a 7.844
_cell_length_b 7.844
_cell_length_c 2.784
_cell_angle_alpha 90.00
_cell_angle_beta 90.00
_cell_angle_gamma 90.00
loop_
_atom_site_label
_atom_site_type_symbol
_atom_site_fract_x
_atom_site_fract_y
_atom_site_fract_z
Al1 Al 0.000 0.000 0.000
Pd1 Pd 0.174 0.326 0.500
W1 W 0.117 0.617 0.000
# - V: 171 Å³/cell
# - DOS at the Fermi energy: 7.27 states/eV/cell
# - Size of the total moment: 0.0 μB/cell

Top of the stability list: (Q), leading by 122 meV per atom.